# 1
Entry from Alexandria via LeMat-Bulk: LiCaRe2 after structural relaxation (PBE).

Lattice parameters (Å, degrees): 5.6617 5.6617 2.6710 81.84 81.84 124.12
Fractional positions:
Re  0.5000  0.5000  0.0000
Li  0.0000  0.5000  0.5000
Ca  0.5000  0.0000  0.5000
Re  0.0000  0.0000  0.0000

Values from the calculation:
For the total DFT energy (no corrections), the calculation gives -6.676 eV per atom. The value obtained for the formation energy from the elements is 0.53 eV per atom.

=====

# 2
Entry from Alexandria via LeMat-Bulk: LiCaRe after structural relaxation (PBE).

Lattice parameters (Å, degrees): 4.7481 4.7481 4.7481 60.00 60.00 60.00
Last column: magnetic moment on the atom in μB.
Fractional positions:
Re  0.5000  0.5000  0.5000  2.24
Li  0.0000  0.0000  0.0000  -0.06
Ca  0.7500  0.7500  0.7500  0.05

Values from the calculation:
For the total DFT energy (no corrections), the calculation gives -3.743 eV per atom. The value obtained for the formation energy from the elements is 1.71 eV per atom.

=====

# 3
Entry from Alexandria via LeMat-Bulk: LiCaRe after structural relaxation (PBE).

Lattice parameters (Å, degrees): 7.7402 7.7402 7.7402 159.47 159.47 29.19
Fractional positions:
Li  0.3145  0.3145  0.0000
Re  0.6728  0.6728  0.0000
Ca  0.0128  0.0128  0.0000

Values from the calculation:
For the total DFT energy (no corrections), the calculation gives -4.828 eV per atom. The value obtained for the formation energy from the elements is 0.63 eV per atom.

=====

# 4
Entry from Alexandria via LeMat-Bulk: LiCaRe2 after structural relaxation (PBE).

Lattice parameters (Å, degrees): 3.2333 3.2333 6.7330 90.00 90.00 90.00
Fractional positions:
Re  0.0000  0.0000  0.9196
Ca  0.5000  0.5000  0.2500
Li  0.5000  0.5000  0.7500
Re  0.0000  0.0000  0.5804

Values from the calculation:
For the total DFT energy (no corrections), the calculation gives -6.421 eV per atom. The value obtained for the formation energy from the elements is 0.78 eV per atom.

=====

# 5
Entry from Alexandria via LeMat-Bulk: LiCa2Re after structural relaxation (PBE).

Lattice parameters (Å, degrees): 5.6030 5.6030 5.6030 133.74 133.74 67.50
Last column: magnetic moment on the atom in μB.
Fractional positions:
Ca  0.2500  0.7500  0.5000  0.00
Li  0.5000  0.5000  0.0000  -0.01
Ca  0.0000  0.0000  0.0000  -0.01
Re  0.7500  0.2500  0.5000  0.46

Values from the calculation:
For the total DFT energy (no corrections), the calculation gives -3.793 eV per atom. The value obtained for the formation energy from the elements is 0.80 eV per atom.

=====

# 6
Entry from Alexandria via LeMat-Bulk: LiCaRe2 after structural relaxation (PBE).

Lattice parameters (Å, degrees): 4.4957 4.4957 5.9678 84.30 84.30 38.58
Fractional positions:
Ca  0.4980  0.4980  0.4953
Re  0.7366  0.7366  0.8292
Li  0.2643  0.2643  0.2058
Re  0.0011  0.0011  0.9697

Values from the calculation:
For the total DFT energy (no corrections), the calculation gives -6.762 eV per atom. The value obtained for the formation energy from the elements is 0.44 eV per atom.

=====

# 7
Entry from Alexandria via LeMat-Bulk: LiCaRe2 after structural relaxation (PBE).

Lattice parameters (Å, degrees): 5.0408 2.7110 5.0273 82.18 90.00 90.00
Fractional positions:
Re  0.0000  0.5787  0.4980
Ca  0.5000  0.2500  0.2500
Re  0.0000  0.9213  0.0020
Li  0.5000  0.7500  0.7500

Values from the calculation:
For the total DFT energy (no corrections), the calculation gives -6.704 eV per atom. The value obtained for the formation energy from the elements is 0.50 eV per atom.

=====

# 8
Entry from Alexandria via LeMat-Bulk: LiCa2Re after structural relaxation (PBE).

Lattice parameters (Å, degrees): 3.4089 3.4089 8.2911 90.00 90.00 90.00
Last column: magnetic moment on the atom in μB.
Fractional positions:
Ca  0.0000  0.0000  0.9280  0.01
Re  0.5000  0.5000  0.6926  1.36
Li  0.0000  0.0000  0.5602  0.02
Ca  0.5000  0.5000  0.3192  0.01

Values from the calculation:
For the total DFT energy (no corrections), the calculation gives -3.913 eV per atom. The value obtained for the formation energy from the elements is 0.68 eV per atom.

=====

# 9
Entry from Alexandria via LeMat-Bulk: LiCa2Re after structural relaxation (PBE).

Lattice parameters (Å, degrees): 4.9651 4.9651 6.8388 86.19 86.19 33.90
Fractional positions:
Re  0.2500  0.2500  0.2500
Li  0.7500  0.7500  0.7500
Ca  0.9906  0.9906  0.0237
Ca  0.5094  0.5094  0.4763

Values from the calculation:
For the total DFT energy (no corrections), the calculation gives -3.882 eV per atom. The value obtained for the formation energy from the elements is 0.71 eV per atom.

=====

# 10
Entry from Alexandria via LeMat-Bulk: LiCaRe2 after structural relaxation (PBE).

Lattice parameters (Å, degrees): 4.5698 4.5698 4.5698 60.00 60.00 60.00
Last column: magnetic moment on the atom in μB.
Fractional positions:
Ca  0.5000  0.5000  0.5000  0.09
Re  0.7500  0.7500  0.7500  1.06
Li  0.0000  0.0000  0.0000  -0.01
Re  0.2500  0.2500  0.2500  1.06

Values from the calculation:
For the total DFT energy (no corrections), the calculation gives -5.723 eV per atom. The value obtained for the formation energy from the elements is 1.48 eV per atom.

=====

# 11
Entry from Alexandria via LeMat-Bulk: LiCaRe2 after structural relaxation (PBE).

Lattice parameters (Å, degrees): 3.7214 3.7214 10.6322 79.92 79.92 90.00
Fractional positions:
Li  0.5000  0.5000  0.0000
Re  0.6163  0.1250  0.2500
Li  0.2500  0.7500  0.5000
Ca  0.7500  0.2500  0.5000
Re  0.8750  0.8663  0.7500
Re  0.1337  0.6250  0.2500
Ca  0.0000  0.0000  0.0000
Re  0.3750  0.3837  0.7500

Values from the calculation:
For the total DFT energy (no corrections), the calculation gives -6.457 eV per atom. The value obtained for the formation energy from the elements is 0.75 eV per atom.

=====

# 12
Entry from Alexandria via LeMat-Bulk: LiCaRe2 after structural relaxation (PBE).

Lattice parameters (Å, degrees): 2.6356 4.9588 5.2325 90.00 90.00 90.00
Fractional positions:
Li  0.5000  0.5000  0.7500
Ca  0.5000  0.5000  0.2500
Re  0.0000  0.0000  0.9979
Re  0.0000  0.0000  0.5021

Values from the calculation:
For the total DFT energy (no corrections), the calculation gives -6.601 eV per atom. The value obtained for the formation energy from the elements is 0.60 eV per atom.